No. 1
Entry from Alexandria via LeMat-Bulk: crystalline Ce2PrNi at its relaxed geometry (PBE).

The structure in extended XYZ format:
```
4
Lattice="3.589 0.000 0.000 1.795 3.108 0.000 1.795 1.036 10.139" Properties=species:S:1:pos:R:3 pbc="T T T"
Ce 5.384 3.108 3.284
Ce 1.795 1.036 6.855
Pr 0.000 0.000 0.000
Ni 3.589 2.072 5.069
```

As for the total energy: -21.94 eV per formula unit. The value obtained for the density of states at the Fermi level is 9.620 states/eV/f.u. The value obtained for the magnetization is 1.9 μB per cell. The calculation puts the formation energy at 123 meV per atom. The calculated density comes out at 7.04 Mg/m³. The space group is R-3m.

No. 2
Entry from Alexandria via LeMat-Bulk: crystalline CaAl2Cl8 at its relaxed geometry (PBE).

The structure in extended XYZ format:
```
22
Lattice="-2.166 -8.819 -0.985 7.296 -6.165 -3.194 2.926 -6.342 7.992" Properties=species:S:1:pos:R:3 pbc="T T T"
Al 0.804 -2.499 -0.273
Al 4.817 -13.224 1.626
Al 3.239 -8.103 2.187
Al 7.252 -18.827 4.086
Cl 2.391 -6.226 2.937
Cl 4.008 -7.793 0.161
Cl 4.930 -8.378 3.547
Cl 1.859 -9.687 2.206
Cl 5.883 -13.305 -2.607
Cl 1.304 -4.496 -0.692
Cl 7.767 -11.398 5.457
Cl 5.664 -15.100 0.876
Cl 6.196 -11.640 1.607
Cl 7.455 -8.467 -1.385
Cl 0.288 -9.928 -1.644
Cl 4.047 -13.533 3.652
Cl 2.172 -8.021 6.420
Cl 6.751 -16.830 4.505
Cl 3.125 -12.949 0.266
Cl 0.601 -12.859 5.198
Ca 4.043 -15.005 -1.380
Ca 4.012 -6.322 5.193
```

As for the total energy: -43.83 eV per formula unit. The value obtained for the density of states at the Fermi level is 0.000 states/eV/f.u. The value obtained for the magnetization is 0.4 μB per cell. The calculation puts the uncorrected formation energy at -19.572 eV per formula unit. The calculated density comes out at 1.62 Mg/m³. The space group is C2/c.

No. 3
Entry from Alexandria via LeMat-Bulk: crystalline Cs2HfHgBr6 at its relaxed geometry (PBE).

The structure in extended XYZ format:
```
10
Lattice="-2.629 8.124 -0.473 -0.839 -0.765 -8.476 -7.461 1.869 -3.744" Properties=species:S:1:pos:R:3 pbc="T T T"
Hf -1.734 3.680 -4.475
Br -6.709 6.335 -8.536
Br -0.981 2.082 -2.532
Br -2.487 5.277 -6.418
Br -4.220 2.894 -4.158
Br -1.345 1.750 -6.212
Br -2.122 5.610 -2.737
Cs -5.912 6.837 -4.346
Cs -5.017 2.392 -8.348
Hg 0.000 0.000 0.000
```

As for the total energy: -36.37 eV per formula unit. The value obtained for the density of states at the Fermi level is 0.000 states/eV/f.u. The value obtained for the magnetization is 0.0 μB per cell. The calculation puts the uncorrected formation energy at -14.369 eV per formula unit. The calculated density comes out at 4.22 Mg/m³. The space group is Fm-3m.

No. 4
Entry from Alexandria via LeMat-Bulk: crystalline HoZnCuSn at its relaxed geometry (PBE).

The structure in extended XYZ format:
```
4
Lattice="4.795 0.000 0.000 2.398 4.153 0.000 2.398 1.384 3.915" Properties=species:S:1:pos:R:3 pbc="T T T"
Ho 7.193 4.153 2.937
Sn 2.398 1.384 0.979
Zn 0.000 0.000 0.000
Cu 4.795 2.769 1.958
```

As for the total energy: -15.06 eV per formula unit. The value obtained for the density of states at the Fermi level is 1.743 states/eV/f.u. The value obtained for the magnetization is 0.0 μB per cell. The calculation puts the formation energy at -277 meV per atom. The calculated density comes out at 8.79 Mg/m³. The space group is F-43m.